DFT (GGA-PBE) results for a relaxed Ag2AsAu crystal.

a b c (Å): 5.4820 5.4820 5.4820
angles (deg): 144.46 128.88 63.81
Closest atoms and distances in Å follow each position.
Sites, in units of the cell vectors:
As1 0.2500 0.7500 0.5000  4 Ag 2.81, 4 Au 2.90
Au1 0.7500 0.2500 0.5000  4 As 2.90, 4 Ag 2.92
Ag1 0.0076 0.0076 0.0000  2 As 2.81, 4 Ag 2.90, 2 Au 2.92
Ag2 0.4924 0.4924 0.0000  2 As 2.81, 4 Ag 2.90, 2 Au 2.92

- spin magnetization (μB/atom) = 0.000
- V (Å³/f.u.) = 73.7
- calculated formation energy (meV per atom) = 115
- calculated total energy (eV for the cell shown) = -13.17